## TbSc3Pd6 (GGA-PBE)

Data for a relaxed TbSc3Pd6 crystal.

abc: 4.4498 8.4881 9.7007
angles: 98.42 90.00 90.00
Fractional coordinates of all 20 atoms:
Pd: 0.2500 0.1683 0.2121
Pd: 0.7500 0.3879 0.3145
Sc: 0.2500 0.7537 0.9591
Pd: 0.2500 0.4695 0.0983
Sc: 0.2500 0.3420 0.8149
Sc: 0.2500 0.5515 0.3935
Pd: 0.2500 0.0644 0.9212
Pd: 0.7500 0.1619 0.7304
Sc: 0.7500 0.6580 0.1851
Pd: 0.2500 0.6121 0.6855
Pd: 0.2500 0.8381 0.2696
Tb: 0.2500 0.9374 0.6260
Pd: 0.2500 0.2614 0.5213
Pd: 0.7500 0.8317 0.7879
Sc: 0.7500 0.4485 0.6065
Sc: 0.7500 0.2463 0.0409
Pd: 0.7500 0.7386 0.4787
Pd: 0.7500 0.9356 0.0788
Tb: 0.7500 0.0626 0.3740
Pd: 0.7500 0.5305 0.9017

Output
Symmetry: P2_1/m, No. 11
Volume: 362 Å³/cell
Size of the total moment: 0.000 μB per formula unit
Energy of formation: -0.8740 eV per atom